# LaIn2Ga PBE optimized geometry
# Final energy   -28.37 eV for the cell shown
# Fermi-level density of states   5.12 states/eV/cell
# ΔH_f (0 K)   -188.9 meV per atom
# SG   I-42d (122)
# Volume   28.439 Å³/atom
data_LaIn2Ga
_space_group_name_H-M_alt 'P 1'
_space_group_IT_number 1
_cell_length_a 11.614
_cell_length_b 11.614
_cell_length_c 11.614
_cell_angle_alpha 157.59
_cell_angle_beta 157.59
_cell_angle_gamma 31.90
loop_
_space_group_symop_operation_xyz
'x,y,z'
loop_
_atom_site_label
_atom_site_type_symbol
_atom_site_fract_x
_atom_site_fract_y
_atom_site_fract_z
La1 La 0.000 0.000 0.000
La2 La 0.750 0.250 0.500
In1 In 0.153 0.625 0.028
In2 In 0.375 0.403 0.528
In3 In 0.597 0.125 0.972
In4 In 0.875 0.847 0.472
Ga1 Ga 0.250 0.750 0.500
Ga2 Ga 0.500 0.500 0.000